(1)
This record from the Alexandria database describes crystalline Zr2CoAg at its relaxed geometry. The functional is PBE.

Total magnetic moment ... 0.00 μB per formula unit

Structure (POSCAR):
```
Zr2CoAg
1.0
3.403 0.000 0.000
-1.702 2.947 0.000
0.000 0.000 23.646
Zr Co Ag
6 3 3
Cartesian
0.000 0.000 5.551 Zr
0.000 0.000 18.095 Zr
0.000 1.965 10.213 Zr
0.000 1.965 21.315 Zr
1.702 0.982 2.331 Zr
1.702 0.982 13.433 Zr
0.000 0.000 11.823 Co
0.000 1.965 3.941 Co
1.702 0.982 19.705 Co
0.000 0.000 0.000 Ag
0.000 1.965 15.764 Ag
1.702 0.982 7.882 Ag
```


(2)
This record from the Alexandria database describes crystalline Zr2CoAg at its relaxed geometry. The functional is PBE.

Total magnetic moment ... 0.75 μB per formula unit

Structure (POSCAR):
```
Zr2CoAg
1.0
3.290 0.000 0.000
0.000 3.290 0.000
0.000 0.000 6.846
Zr Co Ag
2 1 1
Cartesian
0.000 0.000 0.000 Zr
1.645 1.645 2.060 Zr
1.645 1.645 5.538 Co
0.000 0.000 3.930 Ag
```


Relative energies, in kJ/mol of atoms, with the most stable structure set to zero: (1) 3.5; (2) 0.0.


(1)
This record from the Alexandria database describes crystalline ZrCoAg at its relaxed geometry. The functional is PBE.

Total magnetic moment ... 0.45 μB per formula unit

Structure (POSCAR):
```
ZrCoAg
1.0
3.321 0.000 0.000
0.000 3.321 0.000
0.000 0.000 9.226
Zr Co Ag
2 2 2
Cartesian
0.000 0.000 0.000 Zr
1.661 1.661 4.613 Zr
0.000 0.000 3.382 Co
1.661 1.661 7.995 Co
0.000 0.000 6.391 Ag
1.661 1.661 1.778 Ag
```


(2)
This record from the Alexandria database describes crystalline ZrCoAg at its relaxed geometry. The functional is PBE.

Total magnetic moment ... 0.00 μB per formula unit

Structure (POSCAR):
```
ZrCoAg
1.0
6.234 0.000 0.000
0.000 6.234 0.000
0.000 0.000 6.234
Zr Co Ag
4 4 4
Cartesian
0.000 0.000 0.000 Zr
0.000 3.117 3.117 Zr
3.117 0.000 3.117 Zr
3.117 3.117 0.000 Zr
1.559 1.559 1.559 Co
1.559 4.676 4.676 Co
4.676 1.559 4.676 Co
4.676 4.676 1.559 Co
1.559 1.559 4.676 Ag
1.559 4.676 1.559 Ag
4.676 1.559 1.559 Ag
4.676 4.676 4.676 Ag
```


(3)
This record from the Alexandria database describes crystalline ZrCoAg at its relaxed geometry. The functional is PBE.

Total magnetic moment ... 0.59 μB per formula unit

Structure (POSCAR):
```
ZrCoAg
1.0
4.516 0.000 0.000
-2.258 3.911 0.000
0.000 0.000 2.850
Zr Co Ag
1 1 1
Cartesian
0.000 0.000 0.000 Zr
0.000 2.607 2.014 Co
2.258 1.304 1.248 Ag
```


Relative energies, in kJ/mol of atoms, with the most stable structure set to zero: (1) 0.0; (2) 62.9; (3) 15.8.


(1)
This record from the Alexandria database describes crystalline ZrCoAg at its relaxed geometry. The functional is PBE.

Total magnetic moment ... 0.00 μB per formula unit

Structure (POSCAR):
```
ZrCoAg
1.0
3.293 0.000 0.000
-1.647 2.852 0.000
0.000 0.000 5.851
Zr Co Ag
1 1 1
Cartesian
0.000 0.000 0.000 Zr
0.000 1.901 4.296 Co
1.647 0.951 2.391 Ag
```


(2)
This record from the Alexandria database describes crystalline ZrCoAg at its relaxed geometry. The functional is PBE.

Total magnetic moment ... 0.00 μB per formula unit

Structure (POSCAR):
```
ZrCoAg
1.0
9.669 0.000 0.000
0.000 3.161 0.000
-2.641 0.000 6.871
Zr Co Ag
4 4 4
Cartesian
0.798 0.000 2.040 Zr
1.395 1.580 4.830 Zr
5.633 1.580 2.040 Zr
6.230 0.000 4.830 Zr
-0.510 0.000 4.243 Co
2.704 1.580 2.628 Co
4.324 1.580 4.243 Co
7.538 0.000 2.628 Co
-1.302 1.580 6.326 Ag
3.495 0.000 0.545 Ag
3.533 0.000 6.326 Ag
8.330 1.580 0.545 Ag
```


Relative energies, in kJ/mol of atoms, with the most stable structure set to zero: (1) 15.8; (2) 0.0.


(1)
This record from the Alexandria database describes crystalline ZrCoAg at its relaxed geometry. The functional is PBE.

Total magnetic moment ... 0.00 μB per formula unit

Structure (POSCAR):
```
ZrCoAg
1.0
3.478 0.000 0.000
0.000 16.530 0.000
0.000 0.000 3.546
Zr Co Ag
4 4 4
Cartesian
0.000 1.610 0.887 Zr
0.000 14.920 2.660 Zr
1.739 6.655 2.660 Zr
1.739 9.875 0.887 Zr
0.000 7.537 0.887 Co
0.000 8.993 2.660 Co
1.739 0.728 2.660 Co
1.739 15.802 0.887 Co
0.000 4.839 0.887 Ag
0.000 11.691 2.660 Ag
1.739 3.426 2.660 Ag
1.739 13.104 0.887 Ag
```


(2)
This record from the Alexandria database describes crystalline ZrCoAg at its relaxed geometry. The functional is PBE.

Total magnetic moment ... 0.00 μB per formula unit

Structure (POSCAR):
```
ZrCoAg
1.0
6.086 0.000 0.000
0.000 6.086 0.000
0.000 0.000 6.086
Zr Co Ag
4 4 4
Cartesian
0.000 0.000 0.000 Zr
0.000 3.043 3.043 Zr
3.043 0.000 3.043 Zr
3.043 3.043 0.000 Zr
1.521 1.521 4.564 Co
1.521 4.564 1.521 Co
4.564 1.521 1.521 Co
4.564 4.564 4.564 Co
0.000 0.000 3.043 Ag
0.000 3.043 0.000 Ag
3.043 0.000 0.000 Ag
3.043 3.043 3.043 Ag
```


Relative energies, in kJ/mol of atoms, with the most stable structure set to zero: (1) 0.0; (2) 37.5.


(1)
This record from the Alexandria database describes crystalline Zr4CoAg at its relaxed geometry. The functional is PBE.

Total magnetic moment ... 1.32 μB per formula unit

Structure (POSCAR):
```
Zr4CoAg
1.0
0.000 3.984 3.984
3.984 0.000 3.984
3.984 3.984 0.000
Zr Co Ag
4 1 1
Cartesian
2.995 2.995 2.995 Zr
4.974 4.974 2.995 Zr
4.974 2.995 4.974 Zr
2.995 4.974 4.974 Zr
5.976 5.976 5.976 Co
0.000 0.000 0.000 Ag
```


(2)
This record from the Alexandria database describes crystalline Zr4CoAg at its relaxed geometry. The functional is PBE.

Total magnetic moment ... 0.00 μB per formula unit

Structure (POSCAR):
```
Zr4CoAg
1.0
6.661 0.000 0.000
0.000 6.661 0.000
0.000 0.000 5.425
Zr Co Ag
8 2 2
Cartesian
0.955 2.140 0.000 Zr
0.955 4.521 2.712 Zr
2.140 0.955 2.712 Zr
2.140 5.706 0.000 Zr
4.521 0.955 0.000 Zr
4.521 5.706 2.712 Zr
5.706 2.140 2.712 Zr
5.706 4.521 0.000 Zr
0.000 0.000 1.356 Co
0.000 0.000 4.069 Co
3.330 3.330 1.356 Ag
3.330 3.330 4.069 Ag
```


Relative energies, in kJ/mol of atoms, with the most stable structure set to zero: (1) 71.8; (2) 0.0.


(1)
This record from the Alexandria database describes crystalline Cs2CrAg at its relaxed geometry. The functional is PBE.

Total magnetic moment ... 5.05 μB per formula unit

Structure (POSCAR):
```
Cs2CrAg
1.0
9.129 0.000 0.000
0.000 9.129 0.000
0.000 0.000 9.129
Cs Cr Ag
8 4 4
Cartesian
2.282 2.282 2.282 Cs
2.282 2.282 6.847 Cs
2.282 6.847 2.282 Cs
2.282 6.847 6.847 Cs
6.847 2.282 2.282 Cs
6.847 2.282 6.847 Cs
6.847 6.847 2.282 Cs
6.847 6.847 6.847 Cs
0.000 0.000 0.000 Cr
0.000 4.564 4.564 Cr
4.564 0.000 4.564 Cr
4.564 4.564 0.000 Cr
0.000 0.000 4.564 Ag
0.000 4.564 0.000 Ag
4.564 0.000 0.000 Ag
4.564 4.564 4.564 Ag
```


(2)
This record from the Alexandria database describes crystalline Cs2CrAg at its relaxed geometry. The functional is PBE.

Total magnetic moment ... 5.08 μB per formula unit

Structure (POSCAR):
```
Cs2CrAg
1.0
10.208 0.000 0.000
0.000 10.208 0.000
0.000 0.000 7.308
Cs Cr Ag
8 4 4
Cartesian
2.288 2.552 0.914 Cs
2.552 7.392 2.741 Cs
2.552 7.921 6.395 Cs
2.817 2.552 4.568 Cs
7.392 7.656 4.568 Cs
7.656 2.288 6.395 Cs
7.656 2.817 2.741 Cs
7.921 7.656 0.914 Cs
0.000 0.000 3.654 Cr
0.000 5.104 5.481 Cr
5.104 0.000 1.827 Cr
5.104 5.104 0.000 Cr
0.000 0.000 0.000 Ag
0.000 5.104 1.827 Ag
5.104 0.000 5.481 Ag
5.104 5.104 3.654 Ag
```


Relative energies, in kJ/mol of atoms, with the most stable structure set to zero: (1) 0.0; (2) 10.3.